BeCdP: optimized geometry, GGA-PBE.

The energy relative to the elements comes out at 317.4 meV per atom. Its density of states at the Fermi level is 0.632 states/eV per atom. As for the crystal system: cubic. The uncorrected energy comes out at -3.033 eV/atom. The energy above the most stable polymorph in this dataset is 363.2 meV/atom. Its volume is 16.557 A^3/atom. For the size of the total moment, the calculation gives 0.00 μB per atom.

The space group is F-43m (No. 216) and the conventional cell measures 5.835, 5.835 and 5.835 Å, with angles of 90.00, 90.00 and 90.00 degrees. The asymmetric unit holds Be at (0.000, 0.000, 0.000), Cd at (0.250, 0.250, 0.250) and P at (0.250, 0.250, 0.750).

NbRhW: optimized geometry, GGA-PBE.

The energy relative to the elements comes out at -147.0 meV per atom. Its density of states at the Fermi level is 1.004 states/eV per atom. As for the crystal system: tetragonal. The uncorrected energy comes out at -10.272 eV/atom. The energy above the most stable polymorph in this dataset is 53.3 meV/atom. Its volume is 16.143 A^3/atom. For the size of the total moment, the calculation gives 0.00 μB per atom.

The space group is I4mm (No. 107) and the conventional cell measures 2.788, 2.788 and 12.460 Å, with angles of 90.00, 90.00 and 90.00 degrees. The asymmetric unit holds Nb at (0.000, 0.000, 0.000), Rh at (0.000, 0.000, 0.668) and W at (0.000, 0.000, 0.319).